DFT (PBE) results for an optimized crystal structure of DyPaCS.

Unit cell a=3.7043 b=3.7043 c=18.9768 alpha=90.00 beta=90.00 gamma=120.00
Atoms (fractional coordinates):
Dy 0.0000 0.0000 0.0000
Dy 0.3333 0.6667 0.6667
Dy 0.6667 0.3333 0.3333
Pa 0.0000 0.0000 0.5235
Pa 0.3333 0.6667 0.1902
Pa 0.6667 0.3333 0.8569
C 0.0000 0.0000 0.2544
C 0.3333 0.6667 0.9211
C 0.6667 0.3333 0.5877
S 0.0000 0.0000 0.7601
S 0.3333 0.6667 0.4268
S 0.6667 0.3333 0.0934

**E_tot**: -8.06 eV/atom
**Calculated volume**: 226 Å³ per cell
**Symmetry**: R3m (160)
**Formation energy (no corrections)**: -1.20 eV per atom